An optimized crystal structure of Tl2Hg2S. Source: Alexandria, functional GGA-PBE.

a = 7.613 Å, b = 7.613 Å, c = 5.395 Å
α = 90.00°, β = 90.00°, γ = 90.00°
Fractional coordinates of all 10 atoms:
Tl1 0.347 0.847 0.000
Hg1 0.167 0.667 0.500
Tl2 0.847 0.653 0.000
Hg2 0.667 0.833 0.500
Hg3 0.833 0.333 0.500
S1 0.500 0.500 0.000
Tl3 0.653 0.153 0.000
S2 0.000 0.000 0.000
Hg4 0.333 0.167 0.500
Tl4 0.153 0.347 0.000

Calculated values
raw total energy = -1.93 eV per atom
crystal system = tetragonal
uncorrected formation energy = -0.040 eV per atom
symmetry = P4/mbm, No. 127

***

An optimized crystal structure of Tl6HgS2. Source: Alexandria, functional GGA-PBE.

a = 3.934 Å, b = 6.496 Å, c = 12.251 Å
α = 104.70°, β = 90.00°, γ = 107.63°
Fractional coordinates of all 9 atoms:
Tl1 0.705 0.411 0.617
Tl2 0.354 0.708 0.922
Tl3 0.646 0.292 0.078
Tl4 0.295 0.589 0.383
S1 0.673 0.345 0.843
Tl5 0.002 0.003 0.756
Tl6 0.998 0.997 0.244
S2 0.327 0.655 0.157
Hg1 0.000 0.000 0.500

Calculated values
raw total energy = -2.70 eV per atom
crystal system = monoclinic
uncorrected formation energy = -0.170 eV per atom
symmetry = C2/m, No. 12

***

> Number 1 is which compound?

Tl2Hg2S

***

> What is the raw total energy in the first record?

-1.93 eV per atom

***

> Which of these has the lowest uncorrected formation energy?

Tl6HgS2